The following is a PBE-GGA calculation of a geometry-optimized NaPbAu structure, from Alexandria.

abc: 4.8695 4.8695 4.8695
angles: 60.00 60.00 60.00
Fractional coordinates of all 3 atoms:
1 Pb 0.0000 0.0000 0.0000
2 Na 0.5000 0.5000 0.5000
3 Au 0.2500 0.2500 0.2500

Calculated values
SG: No. 216
energy of formation from the pure elements: -193 meV per atom